(1)
First-principles (PBE) data for a geometry-optimized FeHg2Ir structure, as listed in the Alexandria database.

abc: 4.6201 4.6201 4.6201
angles: 60.00 60.00 60.00
Fractional positions:
1 Fe 0.0000 0.0000 0.0000
2 Hg 0.5000 0.5000 0.5000
3 Hg 0.7500 0.7500 0.7500
4 Ir 0.2500 0.2500 0.2500

## Properties
Space group: F-43m
V: 69.7 Å³/cell
Uncorrected energy: -3.92 eV/atom
Formation energy from the elements: 562 meV/atom

=====

(2)
First-principles (PBE) data for a geometry-optimized HfTa2I structure, as listed in the Alexandria database.

abc: 10.6841 10.6841 10.6841
angles: 157.75 157.75 31.68
Fractional positions:
1 Hf 0.0000 0.0000 0.0000
2 Hf 0.7500 0.2500 0.5000
3 Ta 0.1248 0.6250 0.9998
4 Ta 0.3750 0.3748 0.4998
5 Ta 0.6252 0.1250 0.0002
6 Ta 0.8750 0.8752 0.5002
7 I 0.2500 0.7500 0.5000
8 I 0.5000 0.5000 0.0000

## Properties
Space group: I-42d
V: 174.8 Å³/cell
Uncorrected energy: -7.98 eV/atom
ΔE_f (raw): 0.83 eV/atom

=====

(3)
First-principles (PBE) data for a geometry-optimized PaGaPt structure, as listed in the Alexandria database.

abc: 4.5014 4.5014 3.3675
angles: 90.00 90.00 120.00
Fractional positions:
1 Pa 0.0000 0.0000 0.0000
2 Ga 0.3333 0.6667 0.5000
3 Pt 0.6667 0.3333 0.5000

## Properties
Space group: P-6m2
V: 59.1 Å³/cell
Uncorrected energy: -7.05 eV/atom
Formation energy from the elements: -861 meV/atom

=====

(4)
First-principles (PBE) data for a geometry-optimized YBi2RuO8 structure, as listed in the Alexandria database.

abc: 5.0929 6.7781 5.1235
angles: 90.00 90.74 90.00
Fractional positions:
1 Y 0.0000 0.0000 0.0000
2 Bi 0.5000 0.2534 0.5000
3 Bi 0.5000 0.7466 0.5000
4 Ru 0.0000 0.5000 0.0000
5 O 0.1679 0.2786 0.1977
6 O 0.1679 0.7214 0.1977
7 O 0.2779 0.5000 0.7690
8 O 0.3238 0.0000 0.7000
9 O 0.6762 0.0000 0.3000
10 O 0.7221 0.5000 0.2310
11 O 0.8321 0.2786 0.8023
12 O 0.8321 0.7214 0.8023

## Properties
Space group: P2/m
V: 176.9 Å³/cell
Uncorrected energy: -6.72 eV/atom
ΔE_f (raw): -1.46 eV/atom

=====

(5)
First-principles (PBE) data for a geometry-optimized CdSi2Se structure, as listed in the Alexandria database.

abc: 5.4247 5.4247 7.1855
angles: 129.07 129.07 36.29
Fractional positions:
1 Cd 0.0000 0.0000 0.0000
2 Si 0.2329 0.2329 0.6127
3 Si 0.7671 0.7671 0.3873
4 Se 0.5000 0.5000 0.5000

## Properties
Space group: C2/m
V: 93.7 Å³/cell
Uncorrected energy: -3.53 eV/atom
ΔE_f (raw): 0.28 eV/atom

=====

(6)
First-principles (PBE) data for a geometry-optimized Dy4BiAu structure, as listed in the Alexandria database.

abc: 8.2057 8.2057 6.1744
angles: 103.01 103.01 113.76
Fractional positions:
1 Dy 0.0736 0.7057 0.9310
2 Dy 0.2045 0.3664 0.6642
3 Dy 0.2943 0.9264 0.5690
4 Dy 0.3664 0.2045 0.1642
5 Dy 0.6336 0.7955 0.8358
6 Dy 0.7057 0.0736 0.4310
7 Dy 0.7955 0.6336 0.3358
8 Dy 0.9264 0.2943 0.0690
9 Bi 0.3814 0.6186 0.2500
10 Bi 0.6186 0.3814 0.7500
11 Au 0.0021 0.9979 0.7500
12 Au 0.9979 0.0021 0.2500

## Properties
Space group: C2/c
V: 346.7 Å³/cell
Uncorrected energy: -4.75 eV/atom
Formation energy from the elements: -491 meV/atom